Model w:
This record from the Alexandria database describes crystalline DyTm2Ag2 at its relaxed geometry. The functional is GGA-PBE.

Cell lengths 3.5904, 5.2118, 13.4096 Å; angles 90.00, 97.68, 90.00 degrees
Sites, in units of the cell vectors:
Dy1 0.1461 0.2500 0.2913
Dy2 0.8539 0.7500 0.7087
Tm1 0.0474 0.7500 0.0950
Tm2 0.2347 0.7500 0.4689
Tm3 0.7653 0.2500 0.5311
Tm4 0.9526 0.2500 0.9050
Ag1 0.3576 0.2500 0.7158
Ag2 0.4536 0.7500 0.9072
Ag3 0.5464 0.2500 0.0928
Ag4 0.6424 0.7500 0.2842

ρ: 9.56 Mg/m³
total magnetic moment: 0.00 μB per formula unit
symmetry: No. 11

=====

Model x:
This record from the Alexandria database describes crystalline DyTm2Ag2 at its relaxed geometry. The functional is GGA-PBE.

Cell lengths 5.2231, 4.8327, 10.7785 Å; angles 90.00, 94.10, 90.00 degrees
Sites, in units of the cell vectors:
Dy1 0.1929 0.2500 0.2414
Dy2 0.8071 0.7500 0.7586
Tm1 0.2514 0.7500 0.4941
Tm2 0.3453 0.2500 0.8893
Tm3 0.6547 0.7500 0.1107
Tm4 0.7486 0.2500 0.5059
Ag1 0.1451 0.7500 0.0088
Ag2 0.2677 0.2500 0.6337
Ag3 0.7323 0.7500 0.3663
Ag4 0.8549 0.2500 0.9912

ρ: 8.76 Mg/m³
total magnetic moment: 0.00 μB per formula unit
symmetry: No. 11

=====

model w is favored, and the nearest alternative lies 152 meV/atom above it.

=====

Model w:
This record from the Alexandria database describes crystalline Dy4TmAg at its relaxed geometry. The functional is GGA-PBE.

Cell lengths 3.5311, 3.5311, 13.8954 Å; angles 90.00, 90.00, 90.00 degrees
Sites, in units of the cell vectors:
Dy1 0.0000 0.0000 0.1390
Dy2 0.0000 0.0000 0.8610
Dy3 0.5000 0.5000 0.3221
Dy4 0.5000 0.5000 0.6779
Tm1 0.0000 0.0000 0.5000
Ag1 0.5000 0.5000 0.0000

ρ: 8.88 Mg/m³
total magnetic moment: 0.00 μB per formula unit
symmetry: No. 123

=====

Model x:
This record from the Alexandria database describes crystalline Dy4TmAg at its relaxed geometry. The functional is GGA-PBE.

Cell lengths 10.6820, 10.6820, 6.3844 Å; angles 90.00, 90.00, 150.69 degrees
Sites, in units of the cell vectors:
Dy1 0.0354 0.9646 0.5000
Dy2 0.1775 0.8225 0.6912
Dy3 0.2444 0.7556 0.2068
Dy4 0.4347 0.5653 0.3314
Dy5 0.5653 0.4347 0.8314
Dy6 0.7556 0.2444 0.7068
Dy7 0.8225 0.1775 0.1912
Dy8 0.9646 0.0354 0.0000
Tm1 0.3652 0.6348 0.8334
Tm2 0.6348 0.3652 0.3334
Ag1 0.1037 0.8963 0.0902
Ag2 0.8963 0.1037 0.5902

ρ: 8.63 Mg/m³
total magnetic moment: 0.00 μB per formula unit
symmetry: No. 36

=====

model w is favored, and the nearest alternative lies 123 meV/atom above it.

=====

Model w:
This record from the Alexandria database describes crystalline DyYAg at its relaxed geometry. The functional is GGA-PBE.

Cell lengths 3.6044, 3.6044, 12.5316 Å; angles 90.00, 90.00, 90.00 degrees
Sites, in units of the cell vectors:
Dy1 0.0000 0.0000 0.0000
Dy2 0.5000 0.5000 0.5000
Y1 0.0000 0.0000 0.2971
Y2 0.5000 0.5000 0.7971
Ag1 0.0000 0.0000 0.6467
Ag2 0.5000 0.5000 0.1467

ρ: 7.33 Mg/m³
total magnetic moment: 0.89 μB per formula unit
symmetry: No. 107

=====

Model x:
This record from the Alexandria database describes crystalline DyYAg at its relaxed geometry. The functional is GGA-PBE.

Cell lengths 10.0620, 5.0421, 7.0902 Å; angles 90.00, 90.00, 90.00 degrees
Sites, in units of the cell vectors:
Dy1 0.1240 0.2500 0.0085
Dy2 0.3760 0.7500 0.5085
Dy3 0.6240 0.2500 0.4915
Dy4 0.8760 0.7500 0.9915
Y1 0.1260 0.2500 0.5086
Y2 0.3740 0.7500 0.0086
Y3 0.6260 0.2500 0.9914
Y4 0.8740 0.7500 0.4914
Ag1 0.1254 0.7500 0.7543
Ag2 0.3746 0.2500 0.2543
Ag3 0.6254 0.7500 0.7457
Ag4 0.8746 0.2500 0.2457

ρ: 6.63 Mg/m³
total magnetic moment: 0.00 μB per formula unit
symmetry: No. 62

=====

model w is favored, and the nearest alternative lies 222 meV/atom above it.

=====

Model w:
This record from the Alexandria database describes crystalline DyYAg at its relaxed geometry. The functional is GGA-PBE.

Cell lengths 13.0099, 3.7538, 8.4228 Å; angles 90.00, 126.41, 90.00 degrees
Sites, in units of the cell vectors:
Dy1 0.1026 0.0000 0.3797
Dy2 0.3974 0.5000 0.6203
Dy3 0.6026 0.5000 0.3797
Dy4 0.8974 0.0000 0.6203
Y1 0.1485 0.5000 0.0579
Y2 0.3515 0.0000 0.9421
Y3 0.6485 0.0000 0.0579
Y4 0.8515 0.5000 0.9421
Ag1 0.1285 0.5000 0.6803
Ag2 0.3715 0.0000 0.3197
Ag3 0.6285 0.0000 0.6803
Ag4 0.8715 0.5000 0.3197

ρ: 7.21 Mg/m³
total magnetic moment: 0.00 μB per formula unit
symmetry: No. 12

=====

Model x:
This record from the Alexandria database describes crystalline DyYAg at its relaxed geometry. The functional is GGA-PBE.

Cell lengths 7.0454, 5.0705, 9.0949 Å; angles 90.00, 90.00, 90.00 degrees
Sites, in units of the cell vectors:
Dy1 0.1518 0.2500 0.0783
Dy2 0.3482 0.7500 0.5783
Dy3 0.6518 0.2500 0.4217
Dy4 0.8482 0.7500 0.9217
Y1 0.0159 0.2500 0.6849
Y2 0.4841 0.7500 0.1849
Y3 0.5159 0.2500 0.8151
Y4 0.9841 0.7500 0.3151
Ag1 0.2383 0.2500 0.3984
Ag2 0.2617 0.7500 0.8984
Ag3 0.7383 0.2500 0.1016
Ag4 0.7617 0.7500 0.6016

ρ: 7.34 Mg/m³
total magnetic moment: 0.00 μB per formula unit
symmetry: No. 62

=====

model x is favored, and the nearest alternative lies 36 meV/atom above it.